No. 1
# NdDy2Zn3CdIn2 | the Open Quantum Materials Database | GGA-PBE | relaxed
data_NdDy2Zn3CdIn2
_cell_length_a 4.611
_cell_length_b 12.632
_cell_length_c 7.172
_cell_angle_alpha 90.00
_cell_angle_beta 90.00
_cell_angle_gamma 90.00
_space_group_name_H-M_alt 'A m m 2'
_space_group_IT_number 38
loop_
_space_group_symop_operation_xyz
'x,y,z'
'-x,-y,z'
'-x,y,z'
'x,-y,z'
'x,y+1/2,z+1/2'
'-x,-y+1/2,z+1/2'
'-x,y+1/2,z+1/2'
'x,-y+1/2,z+1/2'
loop_
_atom_site_label
_atom_site_type_symbol
_atom_site_fract_x
_atom_site_fract_y
_atom_site_fract_z
Nd1 Nd 0.000 0.000 0.000
Dy1 Dy 0.000 0.214 0.363
Zn1 Zn 0.500 0.000 0.339
Zn2 Zn 0.500 0.117 0.691
Cd1 Cd 0.000 0.000 0.565
In1 In 0.500 0.170 0.076
# - E_tot: -3.05 eV/atom


No. 2
# NbAsPO | the Open Quantum Materials Database | GGA-PBE | relaxed
data_NbAsPO
_cell_length_a 4.269
_cell_length_b 4.269
_cell_length_c 7.134
_cell_angle_alpha 90.00
_cell_angle_beta 90.00
_cell_angle_gamma 90.00
_space_group_name_H-M_alt 'P 4/n m m'
_space_group_IT_number 129
loop_
_space_group_symop_operation_xyz
'x,y,z'
'-x,-y,-z'
'-y+1/2,x,z'
'y+1/2,-x,-z'
'-x+1/2,-y+1/2,z'
'x+1/2,y+1/2,-z'
'y,-x+1/2,z'
'-y,x+1/2,-z'
'x+1/2,-y,-z'
'-x+1/2,y,z'
'-y,-x,-z'
'y,x,z'
'-x,y+1/2,-z'
'x,-y+1/2,z'
'y+1/2,x+1/2,-z'
'-y+1/2,-x+1/2,z'
loop_
_atom_site_label
_atom_site_type_symbol
_atom_site_fract_x
_atom_site_fract_y
_atom_site_fract_z
Nb1 Nb 0.250 0.750 0.000
As1 As 0.250 0.250 0.461
P1 P 0.250 0.250 0.814
O1 O 0.250 0.750 0.500
# - E_tot: -6.62 eV/atom


No. 3
# BaLaHg6 | the Open Quantum Materials Database | GGA-PBE | relaxed
data_BaLaHg6
_cell_length_a 6.9387
_cell_length_b 6.9387
_cell_length_c 5.2290
_cell_angle_alpha 90.00
_cell_angle_beta 90.00
_cell_angle_gamma 120.00
_space_group_name_H-M_alt 'P -6 m 2'
_space_group_IT_number 187
_space_group_name_Hall 'P -6 2'
loop_
_atom_site_label
_atom_site_type_symbol
_atom_site_fract_x
_atom_site_fract_y
_atom_site_fract_z
Ba1 Ba 0.0000 0.0000 0.0000
La1 La 0.3333 0.6667 0.5000
Hg1 Hg 0.3611 0.1806 0.5000
Hg2 Hg 0.5019 0.0039 0.0000
# - E_tot: -1.47 eV/atom


No. 4
# RbBeIr | the Open Quantum Materials Database | GGA-PBE | relaxed
data_RbBeIr
_cell_length_a 6.412
_cell_length_b 6.412
_cell_length_c 6.412
_cell_angle_alpha 90.00
_cell_angle_beta 90.00
_cell_angle_gamma 90.00
_space_group_name_H-M_alt 'F -4 3 m'
_space_group_IT_number 216
_space_group_name_Hall 'F -4 2 3'
loop_
_atom_site_label
_atom_site_type_symbol
_atom_site_fract_x
_atom_site_fract_y
_atom_site_fract_z
Rb1 Rb 0.000 0.000 0.000
Be1 Be 0.000 0.000 0.500
Ir1 Ir 0.250 0.250 0.750
# - E_tot: -3.15 eV/atom


No. 5
# PrSiGe2Ir | the Open Quantum Materials Database | GGA-PBE | relaxed
data_PrSiGe2Ir
_cell_length_a 4.412
_cell_length_b 4.412
_cell_length_c 9.991
_cell_angle_alpha 90.00
_cell_angle_beta 90.00
_cell_angle_gamma 90.00
_space_group_name_H-M_alt 'I 4 m m'
_space_group_IT_number 107
_space_group_name_Hall 'I 4 -2'
loop_
_atom_site_label
_atom_site_type_symbol
_atom_site_fract_x
_atom_site_fract_y
_atom_site_fract_z
Pr1 Pr 0.000 0.000 0.000
Si1 Si 0.000 0.000 0.418
Ge1 Ge 0.000 0.500 0.265
Ir1 Ir 0.000 0.000 0.650
# - E_tot: -6.36 eV/atom


No. 6
# NbCoHgBi | the Open Quantum Materials Database | GGA-PBE | relaxed
data_NbCoHgBi
_cell_length_a 6.742
_cell_length_b 6.742
_cell_length_c 6.742
_cell_angle_alpha 90.00
_cell_angle_beta 90.00
_cell_angle_gamma 90.00
_space_group_name_H-M_alt 'F -4 3 m'
_space_group_IT_number 216
_space_group_name_Hall 'F -4 2 3'
loop_
_atom_site_label
_atom_site_type_symbol
_atom_site_fract_x
_atom_site_fract_y
_atom_site_fract_z
Nb1 Nb 0.000 0.000 0.000
Co1 Co 0.000 0.000 0.500
Hg1 Hg 0.250 0.250 0.750
Bi1 Bi 0.250 0.250 0.250
# - E_tot: -4.79 eV/atom


No. 7
# B2Ir2O5 | the Open Quantum Materials Database | GGA-PBE | relaxed
data_B2Ir2O5
_cell_length_a 3.841
_cell_length_b 3.841
_cell_length_c 6.808
_cell_angle_alpha 90.00
_cell_angle_beta 90.00
_cell_angle_gamma 90.00
_space_group_name_H-M_alt 'P 4/m m m'
_space_group_IT_number 123
_space_group_name_Hall '-P 4 2'
loop_
_atom_site_label
_atom_site_type_symbol
_atom_site_fract_x
_atom_site_fract_y
_atom_site_fract_z
B1 B 0.000 0.000 0.000
B2 B 0.000 0.000 0.500
Ir1 Ir 0.500 0.500 0.196
O1 O 0.000 0.500 0.173
O2 O 0.500 0.500 0.500
# - E_tot: -5.55 eV/atom


No. 8
# NiBi | the Open Quantum Materials Database | GGA-PBE | relaxed
data_NiBi
_cell_length_a 5.886
_cell_length_b 5.886
_cell_length_c 5.886
_cell_angle_alpha 90.00
_cell_angle_beta 90.00
_cell_angle_gamma 90.00
_space_group_name_H-M_alt 'F -4 3 m'
_space_group_IT_number 216
_space_group_name_Hall 'F -4 2 3'
loop_
_atom_site_label
_atom_site_type_symbol
_atom_site_fract_x
_atom_site_fract_y
_atom_site_fract_z
Ni1 Ni 0.000 0.000 0.000
Bi1 Bi 0.250 0.250 0.250
# - E_tot: -4.40 eV/atom


No. 9
# PuHgB | the Open Quantum Materials Database | GGA-PBE | relaxed
data_PuHgB
_cell_length_a 6.500
_cell_length_b 6.500
_cell_length_c 6.500
_cell_angle_alpha 90.00
_cell_angle_beta 90.00
_cell_angle_gamma 90.00
_space_group_name_H-M_alt 'F -4 3 m'
_space_group_IT_number 216
_space_group_name_Hall 'F -4 2 3'
loop_
_atom_site_label
_atom_site_type_symbol
_atom_site_fract_x
_atom_site_fract_y
_atom_site_fract_z
Pu1 Pu 0.000 0.000 0.000
Hg1 Hg 0.250 0.250 0.750
B1 B 0.000 0.000 0.500
# - E_tot: -6.03 eV/atom


No. 10
# PrNdH2I4 | the Open Quantum Materials Database | GGA-PBE | relaxed
data_PrNdH2I4
_cell_length_a 4.1513
_cell_length_b 4.1513
_cell_length_c 16.5003
_cell_angle_alpha 90.00
_cell_angle_beta 90.00
_cell_angle_gamma 120.00
_space_group_name_H-M_alt 'P -6 m 2'
_space_group_IT_number 187
_space_group_name_Hall 'P -6 2'
loop_
_atom_site_label
_atom_site_type_symbol
_atom_site_fract_x
_atom_site_fract_y
_atom_site_fract_z
Pr1 Pr 0.0000 0.0000 0.0000
Nd1 Nd 0.0000 0.0000 0.5000
H1 H 0.3333 0.6667 0.5000
H2 H 0.6667 0.3333 0.0000
I1 I 0.3333 0.6667 0.1321
I2 I 0.6667 0.3333 0.3690
# - E_tot: -4.04 eV/atom


No. 11
# ScCdCoAs | the Open Quantum Materials Database | GGA-PBE | relaxed
data_ScCdCoAs
_cell_length_a 6.525
_cell_length_b 6.525
_cell_length_c 6.525
_cell_angle_alpha 90.00
_cell_angle_beta 90.00
_cell_angle_gamma 90.00
_space_group_name_H-M_alt 'F -4 3 m'
_space_group_IT_number 216
_space_group_name_Hall 'F -4 2 3'
loop_
_atom_site_label
_atom_site_type_symbol
_atom_site_fract_x
_atom_site_fract_y
_atom_site_fract_z
Sc1 Sc 0.000 0.000 0.000
Cd1 Cd 0.250 0.250 0.250
Co1 Co 0.250 0.250 0.750
As1 As 0.000 0.000 0.500
# - E_tot: -4.73 eV/atom


No. 12
# MgFeHgMo | the Open Quantum Materials Database | GGA-PBE | relaxed
data_MgFeHgMo
_cell_length_a 6.265
_cell_length_b 6.265
_cell_length_c 6.265
_cell_angle_alpha 90.00
_cell_angle_beta 90.00
_cell_angle_gamma 90.00
_space_group_name_H-M_alt 'F -4 3 m'
_space_group_IT_number 216
_space_group_name_Hall 'F -4 2 3'
loop_
_atom_site_label
_atom_site_type_symbol
_atom_site_fract_x
_atom_site_fract_y
_atom_site_fract_z
Mg1 Mg 0.000 0.000 0.000
Fe1 Fe 0.000 0.000 0.500
Hg1 Hg 0.250 0.250 0.250
Mo1 Mo 0.250 0.250 0.750
# - E_tot: -4.83 eV/atom